Material: CaY2In
Method: DFT, PBE
State: optimized geometry

Calculated values
- Calculated total energy: -4.405 eV per atom
- Volume: 34.7 Å³/atom
- N(E_F): 16.62 states/eV/cell

Geometry as CIF:
```
data_CaY2In
_chemical_formula_sum 'Ca3 Y6 In3'
_cell_length_a 5.2774
_cell_length_b 5.2774
_cell_length_c 17.2579
_cell_angle_alpha 90.00
_cell_angle_beta 90.00
_cell_angle_gamma 120.00
_symmetry_space_group_name_H-M 'R 3 m'
_symmetry_Int_Tables_number 160
_symmetry_space_group_name_Hall 'R 3 -2"'
loop_
_atom_site_label
_atom_site_fract_x
_atom_site_fract_y
_atom_site_fract_z
Ca1 0.0000 0.0000 0.0000
Y1 0.0000 0.0000 0.5595
Y2 0.0000 0.0000 0.7864
In1 0.0000 0.0000 0.1990
```